# CaZnIr, relaxed, DFT GGA-PBE
data_CaZnIr
_chemical_formula_sum 'Ca12 Zn12 Ir12'
_cell_length_a 18.007
_cell_length_b 5.617
_cell_length_c 7.567
_cell_angle_alpha 90.00
_cell_angle_beta 90.36
_cell_angle_gamma 90.00
_symmetry_space_group_name_H-M 'C 1 2/c 1'
_symmetry_Int_Tables_number 15
_symmetry_space_group_name_Hall '-C 2yc'
loop_
_atom_site_label
_atom_site_type_symbol
_atom_site_fract_x
_atom_site_fract_y
_atom_site_fract_z
Ca1 Ca 0.000 0.034 0.250
Ca2 Ca 0.149 0.372 0.848
Zn1 Zn 0.000 0.500 0.000
Zn2 Zn 0.184 0.090 0.214
Ir1 Ir 0.107 0.186 0.503
Ir2 Ir 0.250 0.250 0.500
# Crystal system = monoclinic

***

# Pu3AgPd4, relaxed, DFT GGA-PBE
data_Pu3AgPd4
_chemical_formula_sum 'Pu6 Ag2 Pd8'
_cell_length_a 5.859
_cell_length_b 10.317
_cell_length_c 5.651
_cell_angle_alpha 90.00
_cell_angle_beta 90.00
_cell_angle_gamma 90.00
_symmetry_space_group_name_H-M 'I m m 2'
_symmetry_Int_Tables_number 44
_symmetry_space_group_name_Hall 'I 2 -2'
loop_
_atom_site_label
_atom_site_type_symbol
_atom_site_fract_x
_atom_site_fract_y
_atom_site_fract_z
Pu1 Pu 0.000 0.000 0.000
Pu2 Pu 0.000 0.230 0.596
Ag1 Ag 0.000 0.500 0.377
Pd1 Pd 0.000 0.278 0.099
Pd2 Pd 0.236 0.500 0.911
# Crystal system = orthorhombic

***

# Sn2HgBi2, relaxed, DFT GGA-PBE
data_Sn2HgBi2
_chemical_formula_sum 'Sn4 Hg2 Bi4'
_cell_length_a 8.811
_cell_length_b 8.811
_cell_length_c 4.008
_cell_angle_alpha 90.00
_cell_angle_beta 90.00
_cell_angle_gamma 90.00
_symmetry_space_group_name_H-M 'P 4/m b m'
_symmetry_Int_Tables_number 127
_symmetry_space_group_name_Hall '-P 4 2ab'
loop_
_atom_site_label
_atom_site_type_symbol
_atom_site_fract_x
_atom_site_fract_y
_atom_site_fract_z
Sn1 Sn 0.144 0.356 0.000
Hg1 Hg 0.000 0.000 0.000
Bi1 Bi 0.146 0.646 0.500
# Energy above the lowest structure with this stoichiometry = 1.4 meV per atom
# Crystal system = tetragonal

***

# CaZr2Tc, relaxed, DFT GGA-PBE
data_CaZr2Tc
_chemical_formula_sum 'Ca2 Zr4 Tc2'
_cell_length_a 3.440
_cell_length_b 5.226
_cell_length_c 10.065
_cell_angle_alpha 90.00
_cell_angle_beta 90.00
_cell_angle_gamma 90.00
_symmetry_space_group_name_H-M 'C m m 2'
_symmetry_Int_Tables_number 35
_symmetry_space_group_name_Hall 'C 2 -2'
loop_
_atom_site_label
_atom_site_type_symbol
_atom_site_fract_x
_atom_site_fract_y
_atom_site_fract_z
Ca1 Ca 0.000 0.000 0.000
Zr1 Zr 0.000 0.000 0.573
Zr2 Zr 0.000 0.500 0.311
Tc1 Tc 0.000 0.500 0.766
# Energy above the lowest structure with this stoichiometry = 269.4 meV per atom
# Crystal system = orthorhombic

***

# Sc2TlCu2, relaxed, DFT GGA-PBE
data_Sc2TlCu2
_chemical_formula_sum 'Sc4 Tl2 Cu4'
_cell_length_a 4.504
_cell_length_b 4.504
_cell_length_c 10.186
_cell_angle_alpha 90.00
_cell_angle_beta 90.00
_cell_angle_gamma 90.00
_symmetry_space_group_name_H-M 'I 4/m m m'
_symmetry_Int_Tables_number 139
_symmetry_space_group_name_Hall '-I 4 2'
loop_
_atom_site_label
_atom_site_type_symbol
_atom_site_fract_x
_atom_site_fract_y
_atom_site_fract_z
Sc1 Sc 0.000 0.500 0.250
Tl1 Tl 0.000 0.000 0.000
Cu1 Cu 0.000 0.000 0.388
# Crystal system = tetragonal

***

# KCdHg17, relaxed, DFT GGA-PBE
data_KCdHg17
_chemical_formula_sum 'K3 Cd3 Hg51'
_cell_length_a 10.4436
_cell_length_b 10.4436
_cell_length_c 17.8809
_cell_angle_alpha 90.00
_cell_angle_beta 90.00
_cell_angle_gamma 120.00
_symmetry_space_group_name_H-M 'R 3 m'
_symmetry_Int_Tables_number 160
_symmetry_space_group_name_Hall 'R 3 -2"'
loop_
_atom_site_label
_atom_site_type_symbol
_atom_site_fract_x
_atom_site_fract_y
_atom_site_fract_z
K1 K 0.0000 0.0000 0.0000
Cd1 Cd 0.0000 0.0000 0.3135
Hg1 Hg 0.0000 0.0000 0.6226
Hg2 Hg 0.0000 0.0000 0.7916
Hg3 Hg 0.0002 0.3109 0.6741
Hg4 Hg 0.0391 0.5195 0.5364
Hg5 Hg 0.0895 0.5447 0.8258
Hg6 Hg 0.1111 0.2221 0.4821
# Crystal system = trigonal

***

# K2SrBi2, relaxed, DFT GGA-PBE
data_K2SrBi2
_chemical_formula_sum 'K4 Sr2 Bi4'
_cell_length_a 8.704
_cell_length_b 8.704
_cell_length_c 5.689
_cell_angle_alpha 90.00
_cell_angle_beta 90.00
_cell_angle_gamma 90.00
_symmetry_space_group_name_H-M 'P 4/m b m'
_symmetry_Int_Tables_number 127
_symmetry_space_group_name_Hall '-P 4 2ab'
loop_
_atom_site_label
_atom_site_type_symbol
_atom_site_fract_x
_atom_site_fract_y
_atom_site_fract_z
K1 K 0.159 0.341 0.000
Sr1 Sr 0.000 0.000 0.500
Bi1 Bi 0.128 0.628 0.500
# Energy above the lowest structure with this stoichiometry = 0.0 meV per atom
# Crystal system = tetragonal

***

# Sr2InSn2, relaxed, DFT GGA-PBE
data_Sr2InSn2
_chemical_formula_sum 'Sr4 In2 Sn4'
_cell_length_a 9.129
_cell_length_b 9.129
_cell_length_c 4.246
_cell_angle_alpha 90.00
_cell_angle_beta 90.00
_cell_angle_gamma 90.00
_symmetry_space_group_name_H-M 'P 4/m b m'
_symmetry_Int_Tables_number 127
_symmetry_space_group_name_Hall '-P 4 2ab'
loop_
_atom_site_label
_atom_site_type_symbol
_atom_site_fract_x
_atom_site_fract_y
_atom_site_fract_z
Sr1 Sr 0.178 0.322 0.000
In1 In 0.000 0.000 0.000
Sn1 Sn 0.117 0.617 0.500
# Energy above the lowest structure with this stoichiometry = 264.4 meV per atom
# Crystal system = tetragonal

***

no.,total magnetic moment (μB per formula unit),E (hartree per atom)
1,0.0,-0.158
2,16.3,-0.315
3,0.0,-0.115
4,0.0,-0.262
5,0.0,-0.170
6,0.0,-0.015
7,0.0,-0.102
8,0.0,-0.114